Record 1
Er3Ga3Co2 | GGA-PBE | optimized geometry

abc: 5.6501 7.3547 14.6905
angles: 90.00 90.00 90.00
Last column: nearest neighbours and their distance in Å.
Atoms (fractional coordinates):
Er  0.1192  0.4657  0.1075  3 Co 2.82-3.08, 6 Ga 2.98-3.13
Co  0.6173  0.6285  0.3930  4 Ga 2.38-2.53
Ga  0.8961  0.8301  0.0388  3 Co 2.38-2.50
Co  0.6173  0.6285  0.1070  4 Ga 2.38-2.53
Co  0.8827  0.1285  0.1070  4 Ga 2.38-2.53
Ga  0.1233  0.1772  0.2500  2 Co 2.53
Er  0.3619  0.6651  0.7500  5 Ga 2.92-3.13, 4 Co 2.94-3.02
Er  0.6381  0.3349  0.2500  5 Ga 2.92-3.13, 4 Co 2.94-3.02
Er  0.3808  0.9657  0.3925  3 Co 2.82-3.08, 6 Ga 2.98-3.13
Ga  0.6233  0.3228  0.7500  2 Co 2.53
Er  0.3808  0.9657  0.1075  3 Co 2.82-3.08, 6 Ga 2.98-3.13
Ga  0.6039  0.3301  0.4612  3 Co 2.38-2.50
Er  0.1192  0.4657  0.3925  3 Co 2.82-3.08, 6 Ga 2.98-3.13
Er  0.8619  0.8349  0.2500  5 Ga 2.92-3.13, 4 Co 2.94-3.02
Co  0.1173  0.8715  0.8930  4 Ga 2.38-2.53
Co  0.1173  0.8715  0.6070  4 Ga 2.38-2.53
Co  0.8827  0.1285  0.3930  4 Ga 2.38-2.53
Ga  0.3767  0.6772  0.2500  2 Co 2.53
Er  0.6192  0.0343  0.6075  3 Co 2.82-3.08, 6 Ga 2.98-3.13
Co  0.3827  0.3715  0.6070  4 Ga 2.38-2.53
Ga  0.8767  0.8228  0.7500  2 Co 2.53
Er  0.1381  0.1651  0.7500  5 Ga 2.92-3.13, 4 Co 2.94-3.02
Co  0.3827  0.3715  0.8930  4 Ga 2.38-2.53
Ga  0.6039  0.3301  0.0388  3 Co 2.38-2.50
Ga  0.1039  0.1699  0.9612  3 Co 2.38-2.50
Ga  0.3961  0.6699  0.9612  3 Co 2.38-2.50
Er  0.6192  0.0343  0.8925  3 Co 2.82-3.08, 6 Ga 2.98-3.13
Er  0.8808  0.5343  0.6075  3 Co 2.82-3.08, 6 Ga 2.98-3.13
Er  0.8808  0.5343  0.8925  3 Co 2.82-3.08, 6 Ga 2.98-3.13
Ga  0.1039  0.1699  0.5388  3 Co 2.38-2.50
Ga  0.3961  0.6699  0.5388  3 Co 2.38-2.50
Ga  0.8961  0.8301  0.4612  3 Co 2.38-2.50

Total magnetization = 0.0 μB/cell
DFT formation energy = -0.5146 eV per atom
Energy above the lowest structure with this stoichiometry = 10 meV/atom

=====

Record 2
ErGa3Co3 | GGA-PBE | optimized geometry

abc: 7.9640 7.9640 7.9640
angles: 60.00 60.00 60.00
Last column: nearest neighbours and their distance in Å.
Atoms (fractional coordinates):
Co  0.8582  0.1418  0.1418  1 Ga 2.21, 4 Co 2.26
Ga  0.6619  0.3381  0.6619  1 Co 2.21
Ga  0.6619  0.6619  0.3381  1 Co 2.21
Co  0.1418  0.8582  0.8582  1 Ga 2.21, 4 Co 2.26
Co  0.1418  0.8582  0.1418  1 Ga 2.21, 4 Co 2.26
Co  0.8582  0.1418  0.8582  1 Ga 2.21, 4 Co 2.26
Ga  0.6619  0.3381  0.3381  1 Co 2.21
Co  0.8582  0.8582  0.1418  1 Ga 2.21, 4 Co 2.26
Ga  0.3381  0.3381  0.6619  1 Co 2.21
Ga  0.3381  0.6619  0.3381  1 Co 2.21
Ga  0.3381  0.6619  0.6619  1 Co 2.21
Co  0.1418  0.1418  0.8582  1 Ga 2.21, 4 Co 2.26
Er  0.2500  0.2500  0.2500  12 Ga 4.10, 12 Co 4.16
Er  0.7500  0.7500  0.7500  12 Ga 4.10, 12 Co 4.16

Total magnetization = 9.3 μB/cell
DFT formation energy = 0.7754 eV per atom
Energy above the lowest structure with this stoichiometry = 953 meV/atom

=====

| no. | density of states at the Fermi level (states/eV per cell) | E_tot (eV per cell) | volume (Å³/atom) |
| --- | --- | --- | --- |
| 1 | 27.80 | -164.4 | 19.077 |
| 2 | 11.88 | -59.1 | 25.513 |